Here is HoMn12 at its PBEsol-relaxed geometry from Alexandria. Energies are from SCAN.

ΔE_f, eV per atom: 0.00
Total magnetization, μB/cell: 2.1
Crystal system: tetragonal
Energy, eV for the cell shown: -268.0
Density of states at the Fermi level, states/eV/cell: 8.80

a b c (Å): 6.1891 6.1891 6.1891
angles (deg): 97.60 97.60 137.36
Fractional coordinates of all 13 atoms:
Ho 0.0000 0.0000 0.0000
Mn 0.0000 0.0000 0.5000
Mn 0.0000 0.3645 0.3645
Mn 0.0000 0.5000 0.0000
Mn 0.0000 0.6355 0.6355
Mn 0.2746 0.5000 0.7746
Mn 0.3645 0.0000 0.3645
Mn 0.5000 0.0000 0.0000
Mn 0.5000 0.2746 0.7746
Mn 0.5000 0.5000 0.5000
Mn 0.5000 0.7254 0.2254
Mn 0.6355 0.0000 0.6355
Mn 0.7254 0.5000 0.2254

=====

Here is HoMn2 at its PBEsol-relaxed geometry from Alexandria. Energies are from SCAN.

ΔE_f, eV per atom: -0.09
Total magnetization, μB/cell: 9.6
Crystal system: hexagonal
Energy, eV for the cell shown: -343.1
Density of states at the Fermi level, states/eV/cell: 11.85

a b c (Å): 5.2150 5.2150 7.8180
angles (deg): 90.00 90.00 120.00
Fractional coordinates of all 12 atoms:
Ho 0.3333 0.6667 0.0592
Ho 0.3333 0.6667 0.4408
Ho 0.6667 0.3333 0.5592
Ho 0.6667 0.3333 0.9408
Mn 0.0000 0.0000 0.0000
Mn 0.0000 0.0000 0.5000
Mn 0.1660 0.3320 0.7500
Mn 0.1660 0.8340 0.7500
Mn 0.3320 0.1660 0.2500
Mn 0.6680 0.8340 0.7500
Mn 0.8340 0.1660 0.2500
Mn 0.8340 0.6680 0.2500

=====

Here is Ho2MnNiO6 at its PBEsol-relaxed geometry from Alexandria. Energies are from SCAN.

ΔE_f (raw), eV per atom: -2.974
Total magnetization, μB/cell: 10.0
Crystal system: monoclinic
Energy, eV for the cell shown: -399.1
Density of states at the Fermi level, states/eV/cell: 0.00

a b c (Å): 5.1294 5.5156 8.9343
angles (deg): 90.00 124.35 90.00
Fractional coordinates of all 20 atoms:
Ho 0.2272 0.0771 0.2492
Ho 0.2272 0.4229 0.7492
Ho 0.7728 0.5771 0.2508
Ho 0.7728 0.9229 0.7508
Mn 0.5000 0.0000 0.0000
Mn 0.5000 0.5000 0.5000
Ni 0.0000 0.0000 0.5000
Ni 0.0000 0.5000 0.0000
O 0.1456 0.1878 0.9486
O 0.1456 0.3122 0.4486
O 0.2626 0.7052 0.9448
O 0.2626 0.7948 0.4448
O 0.3621 0.0324 0.7549
O 0.3621 0.4676 0.2549
O 0.6379 0.5324 0.7451
O 0.6379 0.9676 0.2451
O 0.7374 0.2052 0.5552
O 0.7374 0.2948 0.0552
O 0.8544 0.6878 0.5514
O 0.8544 0.8122 0.0514

=====

Here is HoMn2O5 at its PBEsol-relaxed geometry from Alexandria. Energies are from SCAN.

ΔE_f (raw), eV per atom: -2.824
Total magnetization, μB/cell: 28.0
Crystal system: orthorhombic
Energy, eV for the cell shown: -557.0

a b c (Å): 7.1540 8.4218 5.6480
angles (deg): 90.00 90.00 90.00
Fractional coordinates of all 32 atoms:
Ho 0.1362 0.1717 0.0000
Ho 0.3638 0.6717 0.0000
Ho 0.6362 0.3283 0.0000
Ho 0.8638 0.8283 0.0000
Mn 0.0000 0.5000 0.2531
Mn 0.0000 0.5000 0.7469
Mn 0.0875 0.8492 0.5000
Mn 0.4125 0.3492 0.5000
Mn 0.5000 0.0000 0.2531
Mn 0.5000 0.0000 0.7469
Mn 0.5875 0.6508 0.5000
Mn 0.9125 0.1508 0.5000
O 0.0000 0.0000 0.2703
O 0.0000 0.0000 0.7297
O 0.1062 0.7076 0.2426
O 0.1062 0.7076 0.7574
O 0.1549 0.4337 0.5000
O 0.1662 0.4438 0.0000
O 0.3338 0.9438 0.0000
O 0.3451 0.9337 0.5000
O 0.3938 0.2076 0.2426
O 0.3938 0.2076 0.7574
O 0.5000 0.5000 0.2703
O 0.5000 0.5000 0.7297
O 0.6062 0.7924 0.2426
O 0.6062 0.7924 0.7574
O 0.6549 0.0663 0.5000
O 0.6662 0.0562 0.0000
O 0.8338 0.5562 0.0000
O 0.8451 0.5663 0.5000
O 0.8938 0.2924 0.2426
O 0.8938 0.2924 0.7574

=====

Here is Ho2Mn3Sb3O14 at its PBEsol-relaxed geometry from Alexandria. Energies are from SCAN.

ΔE_f (raw), eV per atom: -2.284
Total magnetization, μB/cell: 6.0
Crystal system: monoclinic
Energy, eV for the cell shown: -402.0

a b c (Å): 7.1434 7.1434 7.1376
angles (deg): 119.19 119.19 60.74
Fractional coordinates of all 22 atoms:
Ho 0.0000 0.0000 0.0000
Ho 0.0000 0.0000 0.5000
Mn 0.0000 0.5000 0.5000
Mn 0.5000 0.0000 0.5000
Mn 0.5000 0.5000 0.0000
Sb 0.0000 0.5000 0.0000
Sb 0.5000 0.0000 0.0000
Sb 0.5000 0.5000 0.5000
O 0.1330 0.1330 0.3835
O 0.1628 0.5924 0.9256
O 0.1645 0.1645 0.9049
O 0.1674 0.5859 0.3351
O 0.4076 0.8372 0.0744
O 0.4141 0.8326 0.6649
O 0.4267 0.4267 0.6839
O 0.5733 0.5733 0.3161
O 0.5859 0.1674 0.3351
O 0.5924 0.1628 0.9256
O 0.8326 0.4141 0.6649
O 0.8355 0.8355 0.0951
O 0.8372 0.4076 0.0744
O 0.8670 0.8670 0.6165

=====

Here is Ho4MnS7 at its PBEsol-relaxed geometry from Alexandria. Energies are from SCAN.

ΔE_f (raw), eV per atom: -2.126
Total magnetization, μB/cell: 5.0
Crystal system: monoclinic
Energy, eV for the cell shown: -307.1

a b c (Å): 6.4259 6.4259 11.2088
angles (deg): 104.52 104.52 33.82
Fractional coordinates of all 12 atoms:
Ho 0.0000 0.0000 0.0000
Ho 0.3856 0.3856 0.5943
Ho 0.5867 0.5867 0.3663
Ho 0.6937 0.6937 0.8082
Mn 0.8169 0.8169 0.2244
S 0.0330 0.0330 0.7477
S 0.2177 0.2177 0.3125
S 0.3562 0.3562 0.8494
S 0.4286 0.4286 0.1510
S 0.6624 0.6624 0.0312
S 0.7313 0.7313 0.5872
S 0.9576 0.9576 0.4403

=====

Here is Ho2Mn3Si5 at its PBEsol-relaxed geometry from Alexandria. Energies are from SCAN.

ΔE_f (raw), eV per atom: -0.653
Total magnetization, μB/cell: 3.5
Crystal system: tetragonal
Energy, eV for the cell shown: -837.4
Density of states at the Fermi level, states/eV/cell: 14.21

a b c (Å): 10.4345 10.4345 5.3362
angles (deg): 90.00 90.00 90.00
Fractional coordinates of all 40 atoms:
Ho 0.0758 0.2362 0.0000
Ho 0.2362 0.9242 0.0000
Ho 0.2638 0.4242 0.5000
Ho 0.4242 0.7362 0.5000
Ho 0.5758 0.2638 0.5000
Ho 0.7362 0.5758 0.5000
Ho 0.7638 0.0758 0.0000
Ho 0.9242 0.7638 0.0000
Mn 0.0000 0.5000 0.2500
Mn 0.0000 0.5000 0.7500
Mn 0.1213 0.8539 0.5000
Mn 0.1461 0.1213 0.5000
Mn 0.3539 0.6213 0.0000
Mn 0.3787 0.3539 0.0000
Mn 0.5000 0.0000 0.2500
Mn 0.5000 0.0000 0.7500
Mn 0.6213 0.6461 0.0000
Mn 0.6461 0.3787 0.0000
Mn 0.8539 0.8787 0.5000
Mn 0.8787 0.1461 0.5000
Si 0.0000 0.0000 0.2577
Si 0.0000 0.0000 0.7423
Si 0.0254 0.3148 0.5000
Si 0.1744 0.6744 0.2500
Si 0.1744 0.6744 0.7500
Si 0.1852 0.4746 0.0000
Si 0.3148 0.9746 0.5000
Si 0.3256 0.1744 0.2500
Si 0.3256 0.1744 0.7500
Si 0.4746 0.8148 0.0000
Si 0.5000 0.5000 0.2423
Si 0.5000 0.5000 0.7577
Si 0.5254 0.1852 0.0000
Si 0.6744 0.8256 0.2500
Si 0.6744 0.8256 0.7500
Si 0.6852 0.0254 0.5000
Si 0.8148 0.5254 0.0000
Si 0.8256 0.3256 0.2500
Si 0.8256 0.3256 0.7500
Si 0.9746 0.6852 0.5000

=====

Here is HoMn2Si2 at its PBEsol-relaxed geometry from Alexandria. Energies are from SCAN.

ΔE_f (raw), eV per atom: -0.712
Total magnetization, μB/cell: 4.1
Crystal system: tetragonal
Energy, eV for the cell shown: -109.1
Density of states at the Fermi level, states/eV/cell: 2.69

a b c (Å): 5.7723 5.7723 5.7723
angles (deg): 141.23 141.23 55.99
Fractional coordinates of all 5 atoms:
Ho 0.0000 0.0000 0.0000
Mn 0.2500 0.7500 0.5000
Mn 0.7500 0.2500 0.5000
Si 0.3801 0.3801 0.0000
Si 0.6199 0.6199 0.0000

=====

Here is Ho6MnTe2 at its PBEsol-relaxed geometry from Alexandria. Energies are from SCAN.

ΔE_f (raw), eV per atom: -0.685
Total magnetization, μB/cell: 1.0
Crystal system: hexagonal
Energy, eV for the cell shown: -392.8
Density of states at the Fermi level, states/eV/cell: 5.01

a b c (Å): 8.1215 8.1215 3.9707
angles (deg): 90.00 90.00 120.00
Fractional coordinates of all 9 atoms:
Ho 0.0000 0.3943 0.0000
Ho 0.0000 0.7633 0.5000
Ho 0.2367 0.2367 0.5000
Ho 0.3943 0.0000 0.0000
Ho 0.6057 0.6057 0.0000
Ho 0.7633 0.0000 0.5000
Mn 0.0000 0.0000 0.0000
Te 0.3333 0.6667 0.5000
Te 0.6667 0.3333 0.5000

=====

Here is Na2HoMoPO8 at its PBEsol-relaxed geometry from Alexandria. Energies are from SCAN.

ΔE_f (raw), eV per atom: -2.748
Total magnetization, μB/cell: 0.0
Crystal system: orthorhombic
Energy, eV for the cell shown: -753.1
Density of states at the Fermi level, states/eV/cell: 0.00

a b c (Å): 11.3192 11.3192 11.3192
angles (deg): 144.81 116.01 75.18
Fractional coordinates of all 52 atoms:
Na 0.0996 0.6627 0.4541
Na 0.2087 0.1627 0.0632
Na 0.2913 0.3545 0.9541
Na 0.4004 0.8545 0.5632
Na 0.5996 0.1455 0.4368
Na 0.7087 0.6455 0.0459
Na 0.7913 0.8373 0.9368
Na 0.9004 0.3373 0.5459
Ho 0.1796 0.7500 0.9296
Ho 0.3204 0.2500 0.5704
Ho 0.6796 0.7500 0.4296
Ho 0.8204 0.2500 0.0704
Mo 0.0730 0.8230 0.2500
Mo 0.4270 0.6770 0.7500
Mo 0.5730 0.3230 0.2500
Mo 0.9270 0.1770 0.7500
P 0.0675 0.2500 0.3175
P 0.4325 0.7500 0.1825
P 0.5675 0.2500 0.8175
P 0.9325 0.7500 0.6825
O 0.0594 0.3290 0.2509
O 0.0782 0.8290 0.7696
O 0.1009 0.1940 0.8335
O 0.1077 0.6687 0.0175
O 0.1396 0.7326 0.3335
O 0.1409 0.4192 0.5746
O 0.1512 0.0903 0.4825
O 0.1555 0.0808 0.2218
O 0.3445 0.5663 0.9254
O 0.3488 0.8313 0.9391
O 0.3591 0.9337 0.2782
O 0.3604 0.6940 0.5930
O 0.3923 0.4097 0.5609
O 0.3991 0.2326 0.0930
O 0.4218 0.1914 0.7509
O 0.4406 0.6914 0.2696
O 0.5594 0.3086 0.7304
O 0.5782 0.8086 0.2491
O 0.6009 0.7674 0.9070
O 0.6077 0.5903 0.4391
O 0.6395 0.3060 0.4070
O 0.6409 0.0663 0.7218
O 0.6512 0.1687 0.0609
O 0.6555 0.4337 0.0746
O 0.8445 0.9192 0.7782
O 0.8488 0.9097 0.5175
O 0.8591 0.5808 0.4254
O 0.8604 0.2674 0.6665
O 0.8923 0.3313 0.9825
O 0.8991 0.8060 0.1665
O 0.9218 0.1710 0.2304
O 0.9406 0.6710 0.7491

=====

Here is Ho2MoO6 at its PBEsol-relaxed geometry from Alexandria. Energies are from SCAN.

ΔE_f (raw), eV per atom: -3.251
Total magnetization, μB/cell: 0.0
Crystal system: monoclinic
Energy, eV for the cell shown: -798.0
Density of states at the Fermi level, states/eV/cell: 0.00

a b c (Å): 9.7470 9.7470 5.2866
angles (deg): 104.94 104.94 67.95
Fractional coordinates of all 36 atoms:
Ho 0.0514 0.2845 0.8789
Ho 0.1072 0.8928 0.7500
Ho 0.2845 0.0514 0.3789
Ho 0.3644 0.6356 0.2500
Ho 0.6356 0.3644 0.7500
Ho 0.7155 0.9486 0.6211
Ho 0.8928 0.1072 0.2500
Ho 0.9486 0.7155 0.1211
Mo 0.2037 0.4874 0.5634
Mo 0.4874 0.2037 0.0634
Mo 0.5126 0.7963 0.9366
Mo 0.7963 0.5126 0.4366
O 0.0662 0.4750 0.2584
O 0.0737 0.1089 0.0786
O 0.1089 0.0737 0.5786
O 0.1627 0.6917 0.4184
O 0.1737 0.6163 0.8747
O 0.2124 0.3150 0.6398
O 0.3083 0.8373 0.0816
O 0.3150 0.2124 0.1398
O 0.3837 0.8263 0.6253
O 0.3895 0.4511 0.5148
O 0.4511 0.3895 0.0148
O 0.4750 0.0662 0.7584
O 0.5250 0.9338 0.2416
O 0.5489 0.6105 0.9852
O 0.6105 0.5489 0.4852
O 0.6163 0.1737 0.3747
O 0.6850 0.7876 0.8602
O 0.6917 0.1627 0.9184
O 0.7876 0.6850 0.3602
O 0.8263 0.3837 0.1253
O 0.8373 0.3083 0.5816
O 0.8911 0.9263 0.4214
O 0.9263 0.8911 0.9214
O 0.9338 0.5250 0.7416

=====

Here is Ho2Mo3O12 at its PBEsol-relaxed geometry from Alexandria. Energies are from SCAN.

ΔE_f (raw), eV per atom: -2.742
Total magnetization, μB/cell: 0.0
Crystal system: tetragonal
Energy, eV for the cell shown: -648.0
Density of states at the Fermi level, states/eV/cell: 0.00

a b c (Å): 7.2964 7.2964 10.5045
angles (deg): 90.00 90.00 90.00
Fractional coordinates of all 34 atoms:
Ho 0.1855 0.3145 0.2622
Ho 0.3145 0.8145 0.7378
Ho 0.6855 0.1855 0.7378
Ho 0.8145 0.6855 0.2622
Mo 0.0000 0.0000 0.0000
Mo 0.2065 0.2935 0.6443
Mo 0.2935 0.7935 0.3557
Mo 0.5000 0.5000 0.0000
Mo 0.7065 0.2065 0.3557
Mo 0.7935 0.7065 0.6443
O 0.0069 0.7749 0.7037
O 0.0427 0.1912 0.0975
O 0.1256 0.6256 0.3085
O 0.1912 0.9573 0.9025
O 0.1945 0.3055 0.4782
O 0.2251 0.0069 0.2963
O 0.2749 0.5069 0.7037
O 0.3055 0.8055 0.5218
O 0.3088 0.4573 0.0975
O 0.3744 0.1256 0.6915
O 0.4573 0.6912 0.9025
O 0.4931 0.2749 0.2963
O 0.5069 0.7251 0.2963
O 0.5427 0.3088 0.9025
O 0.6256 0.8744 0.6915
O 0.6912 0.5427 0.0975
O 0.6945 0.1945 0.5218
O 0.7251 0.4931 0.7037
O 0.7749 0.9931 0.2963
O 0.8055 0.6945 0.4782
O 0.8088 0.0427 0.9025
O 0.8744 0.3744 0.3085
O 0.9573 0.8088 0.0975
O 0.9931 0.2251 0.7037